Record 1
LaSb3P | PBE | relaxed

Cell: 6.0847 6.0847 6.0847 Å, 90.00 90.00 90.00°
Last column: nearest neighbours and their distance in Å.
Element x y z (fractional)
1 P 0.5000 0.5000 0.5000  12 Sb 4.30
2 Sb 0.0000 0.0000 0.5000  2 La 3.04
3 Sb 0.5000 0.0000 0.0000  2 La 3.04
4 La 0.0000 0.0000 0.0000  6 Sb 3.04
5 Sb 0.0000 0.5000 0.0000  2 La 3.04

Results
Crystal system: cubic
Formation energy without anion corrections: 1.06 eV/atom
Distance to the lowest polymorph of the same formula: 1164 meV/atom

Record 2
Na3CeEr2S6 | PBE | relaxed

Cell: 6.9590 6.9590 7.0633 Å, 99.45 99.45 120.01°
Last column: nearest neighbours and their distance in Å.
Element x y z (fractional)
1 Na 0.8335 0.1665 0.5000  6 S 2.89-2.98
2 S 0.5807 0.9243 0.7731  2 Er 2.74, 1 Ce 2.83, 3 Na 2.89-2.98
3 S 0.0757 0.4193 0.2269  2 Er 2.74, 1 Ce 2.83, 3 Na 2.89-2.98
4 Er 0.3332 0.6668 0.0000  6 S 2.74
5 Er 0.6668 0.3332 0.0000  6 S 2.74
6 Na 0.5000 0.5000 0.5000  6 S 2.89-2.98
7 S 0.4193 0.0757 0.2269  2 Er 2.74, 1 Ce 2.83, 3 Na 2.89-2.98
8 S 0.2677 0.2677 0.7721  2 Er 2.74, 1 Ce 2.83, 3 Na 2.89-2.97
9 Na 0.1665 0.8335 0.5000  6 S 2.89-2.98
10 Ce 0.0000 0.0000 0.0000  6 S 2.83
11 S 0.9243 0.5807 0.7731  2 Er 2.74, 1 Ce 2.83, 3 Na 2.89-2.98
12 S 0.7323 0.7323 0.2279  2 Er 2.74, 1 Ce 2.83, 3 Na 2.89-2.97

Results
Crystal system: monoclinic
Formation energy without anion corrections: -1.81 eV/atom

Record 3
Sc2MnMo | PBE | relaxed

Cell: 5.3048 5.3048 2.8827 Å, 80.45 80.45 113.11°
Last column: nearest neighbours and their distance in Å.
Element x y z (fractional)
1 Mo 0.0000 0.5000 0.5000  4 Sc 2.80, 2 Mo 2.88, 2 Mn 2.92
2 Sc 0.5000 0.5000 0.0000  2 Mo 2.80, 2 Mn 2.80, 4 Sc 2.88-2.92
3 Mn 0.5000 0.0000 0.5000  4 Sc 2.80, 2 Mn 2.88, 2 Mo 2.92
4 Sc 0.0000 0.0000 0.0000  2 Mn 2.80, 2 Mo 2.80, 4 Sc 2.88-2.92

Results
Crystal system: monoclinic
ΔE_f: 1.08 eV/f.u.
Distance to the lowest polymorph of the same formula: 250 meV/atom

Record 4
Sr2SiBr | PBE | relaxed

Cell: 5.5590 5.5590 5.5590 Å, 60.00 60.00 60.00°
Last column: nearest neighbours and their distance in Å.
Element x y z (fractional)
1 Si 0.7500 0.7500 0.7500  4 Br 3.40, 4 Sr 3.40
2 Sr 0.0000 0.0000 0.0000  4 Sr 3.40, 4 Si 3.40
3 Sr 0.2500 0.2500 0.2500  4 Br 3.40, 4 Sr 3.40
4 Br 0.5000 0.5000 0.5000  4 Si 3.40, 4 Sr 3.40

Results
Crystal system: cubic
Formation energy without anion corrections: -0.09 eV/atom
Distance to the lowest polymorph of the same formula: 849 meV/atom

Number 1: magnetic moment 2.5 μB/f.u.. Number 2: magnetic moment 1.0 μB/f.u.. Number 3: magnetic moment 2.1 μB/f.u.. Number 4: magnetic moment 0.0 μB/f.u..